The following is a PBE calculation of a relaxed YAgNF2 crystal, from Alexandria via LeMat-Bulk.

```
data_YAgNF2
_chemical_formula_sum 'Y1 Ag1 N1 F2'
_cell_length_a 4.201
_cell_length_b 4.201
_cell_length_c 6.150
_cell_angle_alpha 90.00
_cell_angle_beta 90.00
_cell_angle_gamma 90.00
_symmetry_space_group_name_H-M 'P 4/m m m'
_symmetry_Int_Tables_number 123
_symmetry_space_group_name_Hall '-P 4 2'
loop_
_atom_site_label
_atom_site_fract_x
_atom_site_fract_y
_atom_site_fract_z
_atom_site_occupancy
Y1 0.000 0.000 0.000 1
Ag1 0.000 0.000 0.500 1
N1 0.500 0.500 0.500 1
F1 0.000 0.500 0.000 1
```

Values from the calculation:
- Total magnetic moment: 1.43 μB per formula unit
- ΔE to the lowest computed polymorph: 512 meV per atom

=====

The following is a PBE calculation of a relaxed YAgNF2 crystal, from Alexandria via LeMat-Bulk.

```
data_YAgNF2
_chemical_formula_sum 'Y1 Ag1 N1 F2'
_cell_length_a 4.195
_cell_length_b 4.195
_cell_length_c 4.333
_cell_angle_alpha 90.00
_cell_angle_beta 90.00
_cell_angle_gamma 90.00
_symmetry_space_group_name_H-M 'P 4/m m m'
_symmetry_Int_Tables_number 123
_symmetry_space_group_name_Hall '-P 4 2'
loop_
_atom_site_label
_atom_site_fract_x
_atom_site_fract_y
_atom_site_fract_z
_atom_site_occupancy
Y1 0.000 0.000 0.000 1
Ag1 0.500 0.500 0.500 1
N1 0.500 0.500 0.000 1
F1 0.000 0.500 0.500 1
```

Values from the calculation:
- Total magnetic moment: 0.00 μB per formula unit
- ΔE to the lowest computed polymorph: 709 meV per atom

=====

The following is a PBE calculation of a relaxed YAgNF2 crystal, from Alexandria via LeMat-Bulk.

```
data_YAgNF2
_chemical_formula_sum 'Y1 Ag1 N1 F2'
_cell_length_a 4.323
_cell_length_b 4.323
_cell_length_c 4.715
_cell_angle_alpha 90.00
_cell_angle_beta 90.00
_cell_angle_gamma 90.00
_symmetry_space_group_name_H-M 'P 4/m m m'
_symmetry_Int_Tables_number 123
_symmetry_space_group_name_Hall '-P 4 2'
loop_
_atom_site_label
_atom_site_fract_x
_atom_site_fract_y
_atom_site_fract_z
_atom_site_occupancy
Y1 0.000 0.000 0.000 1
Ag1 0.500 0.500 0.500 1
N1 0.000 0.000 0.500 1
F1 0.000 0.500 0.000 1
```

Values from the calculation:
- Total magnetic moment: 1.00 μB per formula unit
- ΔE to the lowest computed polymorph: 0 meV per atom

=====

The following is a PBE calculation of a relaxed ZnAgN2F crystal, from Alexandria via LeMat-Bulk.

```
data_ZnAgN2F
_chemical_formula_sum 'Zn1 Ag1 N2 F1'
_cell_length_a 4.070
_cell_length_b 4.070
_cell_length_c 4.455
_cell_angle_alpha 90.00
_cell_angle_beta 90.00
_cell_angle_gamma 90.00
_symmetry_space_group_name_H-M 'P 4/m m m'
_symmetry_Int_Tables_number 123
_symmetry_space_group_name_Hall '-P 4 2'
loop_
_atom_site_label
_atom_site_fract_x
_atom_site_fract_y
_atom_site_fract_z
_atom_site_occupancy
Zn1 0.000 0.000 0.000 1
Ag1 0.500 0.500 0.500 1
N1 0.000 0.500 0.500 1
F1 0.500 0.500 0.000 1
```

Values from the calculation:
- Total magnetic moment: 2.33 μB per formula unit
- ΔE to the lowest computed polymorph: 399 meV per atom

=====

Question: Among the records above, which one has the lowest ΔE to the lowest computed polymorph?
Answer: number 3